1.
# KRb3Hg2 PBE optimized geometry
data_KRb3Hg2
_chemical_formula_sum 'K4 Rb12 Hg8'
_cell_length_a 21.266
_cell_length_b 5.147
_cell_length_c 14.669
_cell_angle_alpha 90.00
_cell_angle_beta 121.45
_cell_angle_gamma 90.00
_symmetry_space_group_name_H-M 'C 1 2/m 1'
_symmetry_Int_Tables_number 12
_symmetry_space_group_name_Hall '-C 2y'
loop_
_atom_site_label
_atom_site_fract_x
_atom_site_fract_y
_atom_site_fract_z
_atom_site_occupancy
K1 0.166 0.000 0.250 1
Rb1 0.082 0.500 0.432 1
Rb2 0.083 0.500 0.942 1
Rb3 0.159 0.000 0.741 1
Hg1 0.233 0.000 0.044 1
Hg2 0.233 0.000 0.544 1
# Energy relative to the elements, meV per atom: -169
# Total magnetization, μB/f.u.: 0.00
# Distance to the lowest polymorph of the same formula, meV/atom: 0
# Crystal system: monoclinic



2.
# K4Rb3Hg2 PBE optimized geometry
data_K4Rb3Hg2
_chemical_formula_sum 'K8 Rb6 Hg4'
_cell_length_a 19.291
_cell_length_b 5.510
_cell_length_c 11.326
_cell_angle_alpha 90.00
_cell_angle_beta 116.52
_cell_angle_gamma 90.00
_symmetry_space_group_name_H-M 'C 1 2/m 1'
_symmetry_Int_Tables_number 12
_symmetry_space_group_name_Hall '-C 2y'
loop_
_atom_site_label
_atom_site_fract_x
_atom_site_fract_y
_atom_site_fract_z
_atom_site_occupancy
K1 0.117 0.000 0.163 1
K2 0.166 0.500 0.485 1
Rb1 0.000 0.000 0.500 1
Rb2 0.145 0.500 0.873 1
Hg1 0.230 0.000 0.729 1
# Energy relative to the elements, meV per atom: -104
# Total magnetization, μB/f.u.: 0.00
# Crystal system: monoclinic



3.
# KRb2Hg PBE optimized geometry
data_KRb2Hg
_chemical_formula_sum 'K1 Rb2 Hg1'
_cell_length_a 4.565
_cell_length_b 4.565
_cell_length_c 11.627
_cell_angle_alpha 90.00
_cell_angle_beta 90.00
_cell_angle_gamma 90.00
_symmetry_space_group_name_H-M 'P 4/m m m'
_symmetry_Int_Tables_number 123
_symmetry_space_group_name_Hall '-P 4 2'
loop_
_atom_site_label
_atom_site_fract_x
_atom_site_fract_y
_atom_site_fract_z
_atom_site_occupancy
K1 0.000 0.000 0.000 1
Rb1 0.500 0.500 0.312 1
Hg1 0.000 0.000 0.500 1
# Energy relative to the elements, meV per atom: -99
# Total magnetization, μB/f.u.: 0.00
# Crystal system: tetragonal